Compound: ZrSc3Al
Source: Alexandria via LeMat-Bulk
Functional: PBE
Structure: optimized geometry Values from VASP.

```
&SYSTEM
  ibrav = 0, nat = 5, ntyp = 3
/
ATOMIC_SPECIES
Zr 91.22 Zr.upf
Sc 44.96 Sc.upf
Al 26.98 Al.upf
CELL_PARAMETERS angstrom
-4.108 -0.616 -2.956
-0.093 -4.963 1.164
-3.018 0.992 3.987
ATOMIC_POSITIONS crystal
Zr 0.000 0.000 0.000
Sc 0.000 0.500 0.000
Sc 0.500 0.000 0.000
Sc 0.000 0.000 0.500
Al 0.500 0.500 0.500
```

Output
Density ... 3171 kg/m³
Magnetic moment ... 0.000 μB per formula unit
DFT formation energy ... 0.811 eV per atom
Space-group type ... No. 221
Energy above the most stable polymorph in this dataset ... 853.6 meV per atom
Total DFT energy (no corrections) ... -5.4458 eV/atom
Crystal system ... cubic